Version P
# K2MnRu | Alexandria | PBE-GGA | relaxed
data_K2MnRu
_chemical_formula_sum 'K2 Mn1 Ru1'
_symmetry_space_group_name_H-M 'P 1 2/m 1'
_symmetry_Int_Tables_number 10
_cell_length_a 2.917
_cell_length_b 5.825
_cell_length_c 5.226
_cell_angle_alpha 90.00
_cell_angle_beta 93.97
_cell_angle_gamma 90.00
loop_
_symmetry_equiv_pos_as_xyz
'x,y,z'
'-x,-y,-z'
'-x,y,-z'
'x,-y,z'
loop_
_atom_site_label
_atom_site_fract_x
_atom_site_fract_y
_atom_site_fract_z
K1 0.241 0.000 0.247
Mn1 0.000 0.500 0.500
Ru1 0.500 0.500 0.000
# total magnetization = 4.114 μB/f.u.
# crystal system = monoclinic


Version Q
# K2MnRu | Alexandria | PBE-GGA | relaxed
data_K2MnRu
_chemical_formula_sum 'K4 Mn2 Ru2'
_symmetry_space_group_name_H-M 'I m m 2'
_symmetry_Int_Tables_number 44
_cell_length_a 3.526
_cell_length_b 5.932
_cell_length_c 11.737
_cell_angle_alpha 90.00
_cell_angle_beta 90.00
_cell_angle_gamma 90.00
loop_
_symmetry_equiv_pos_as_xyz
'x,y,z'
'-x,-y,z'
'-x,y,z'
'x,-y,z'
'x+1/2,y+1/2,z+1/2'
'-x+1/2,-y+1/2,z+1/2'
'-x+1/2,y+1/2,z+1/2'
'x+1/2,-y+1/2,z+1/2'
loop_
_atom_site_label
_atom_site_fract_x
_atom_site_fract_y
_atom_site_fract_z
K1 0.000 0.000 0.000
K2 0.000 0.500 0.206
Mn1 0.000 0.500 0.800
Ru1 0.000 0.000 0.419
# total magnetization = 3.517 μB/f.u.
# crystal system = orthorhombic


Winner for stability: version Q